# 1
A plane-wave DFT calculation with PBE was carried out for a relaxed structure of KTbTe3Pb.

V = 38.28 Å³/atom
Crystal system = monoclinic
Energy above the lowest structure with this stoichiometry = 0.0 meV per atom
DFT total energy = -99.16 eV per cell

Unit cell a=19.7168 b=4.5517 c=10.5305 alpha=90.00 beta=103.53 gamma=90.00
Space group C2/m (No. 12)
Asymmetric unit:
K 0.1434 0.0000 0.0707
Tb 0.1733 0.0000 0.5807
Te 0.0000 0.0000 0.5000
Te 0.0000 0.5000 0.0000
Te 0.1679 0.5000 0.3728
Te 0.1727 0.5000 0.7839
Pb 0.0101 0.5000 0.7183

# 2
A plane-wave DFT calculation with PBE was carried out for a relaxed structure of KTbTe3Pb.

V = 41.70 Å³/atom
Crystal system = orthorhombic
Energy above the lowest structure with this stoichiometry = 92.4 meV per atom
DFT total energy = -96.94 eV per cell

Unit cell a=4.4922 b=17.3527 c=12.8377 alpha=90.00 beta=90.00 gamma=90.00
Space group Cmcm (No. 63)
Asymmetric unit:
K 0.0000 0.1892 0.2500
Tb 0.0000 0.5000 0.0000
Te 0.0000 0.1240 0.5053
Te 0.0000 0.4803 0.7500
Pb 0.0000 0.0991 0.7500

# 3
A plane-wave DFT calculation with PBE was carried out for a relaxed structure of KTmTe3Pb.

V = 41.76 Å³/atom
Crystal system = orthorhombic
DFT total energy = -95.84 eV per cell

Unit cell a=4.3973 b=17.8301 c=12.7835 alpha=90.00 beta=90.00 gamma=90.00
Space group Cmcm (No. 63)
Asymmetric unit:
K 0.0000 0.1809 0.2500
Tm 0.0000 0.5000 0.0000
Te 0.0000 0.1188 0.5008
Te 0.0000 0.4892 0.7500
Pb 0.0000 0.1059 0.7500

# 4
A plane-wave DFT calculation with PBE was carried out for a relaxed structure of KThPb.

V = 39.08 Å³/atom
Crystal system = cubic
Energy above the lowest structure with this stoichiometry = 0.0 meV per atom
DFT total energy = -44.18 eV per cell

Unit cell a=7.7693 b=7.7693 c=7.7693 alpha=90.00 beta=90.00 gamma=90.00
Space group F-43m (No. 216)
Asymmetric unit:
K 0.0000 0.0000 0.0000
Th 0.0000 0.0000 0.5000
Pb 0.2500 0.2500 0.2500

# 5
A plane-wave DFT calculation with PBE was carried out for a relaxed structure of KTmPb.

V = 36.33 Å³/atom
Crystal system = cubic
Energy above the lowest structure with this stoichiometry = 0.0 meV per atom
DFT total energy = -34.34 eV per cell

Unit cell a=7.5822 b=7.5822 c=7.5822 alpha=90.00 beta=90.00 gamma=90.00
Space group F-43m (No. 216)
Asymmetric unit:
K 0.0000 0.0000 0.0000
Tm 0.2500 0.2500 0.2500
Pb 0.0000 0.0000 0.5000

# 6
A plane-wave DFT calculation with PBE was carried out for a relaxed structure of KUPb.

V = 38.50 Å³/atom
Crystal system = cubic
Energy above the lowest structure with this stoichiometry = 0.0 meV per atom
DFT total energy = -50.89 eV per cell

Unit cell a=7.7308 b=7.7308 c=7.7308 alpha=90.00 beta=90.00 gamma=90.00
Space group F-43m (No. 216)
Asymmetric unit:
K 0.0000 0.0000 0.0000
U 0.2500 0.2500 0.2500
Pb 0.0000 0.0000 0.5000

# 7
A plane-wave DFT calculation with PBE was carried out for a relaxed structure of KPb5W3.

V = 29.04 Å³/atom
Crystal system = hexagonal
DFT total energy = -55.16 eV per cell

Unit cell a=5.6467 b=5.6467 c=9.4635 alpha=90.00 beta=90.00 gamma=120.00
Space group P6/mmm (No. 191)
Asymmetric unit:
K 0.0000 0.0000 0.0000
Pb 0.0000 0.0000 0.5000
Pb 0.3333 0.6667 0.2303
W 0.0000 0.5000 0.5000

# 8
A plane-wave DFT calculation with PBE was carried out for a relaxed structure of KZr3Pb5.

V = 30.20 Å³/atom
Crystal system = hexagonal
DFT total energy = -45.82 eV per cell

Unit cell a=6.2408 b=6.2408 c=8.0582 alpha=90.00 beta=90.00 gamma=120.00
Space group P6/mmm (No. 191)
Asymmetric unit:
K 0.0000 0.0000 0.0000
Zr 0.0000 0.5000 0.5000
Pb 0.0000 0.0000 0.5000
Pb 0.3333 0.6667 0.1886

# 9
A plane-wave DFT calculation with PBE was carried out for a relaxed structure of KPd.

V = 43.85 Å³/atom
Crystal system = cubic
Energy above the lowest structure with this stoichiometry = 505.7 meV per atom
DFT total energy = -18.73 eV per cell

Unit cell a=7.0526 b=7.0526 c=7.0526 alpha=90.00 beta=90.00 gamma=90.00
Space group F-43m (No. 216)
Asymmetric unit:
K 0.0000 0.0000 0.0000
Pd 0.2500 0.2500 0.7500

# 10
A plane-wave DFT calculation with PBE was carried out for a relaxed structure of KPd3.

V = 19.79 Å³/atom
Crystal system = trigonal
DFT total energy = -149.00 eV per cell

Unit cell a=5.5352 b=5.5352 c=26.8502 alpha=90.00 beta=90.00 gamma=120.00
Space group R-3m (No. 166, hexagonal axes)
Asymmetric unit:
K 0.0000 0.0000 0.0000
K 0.0000 0.0000 0.1420
Pd 0.0000 0.0000 0.3326
Pd 0.0000 0.0000 0.5000
Pd 0.0007 0.5003 0.9178

# 11
A plane-wave DFT calculation with PBE was carried out for a relaxed structure of K2Pd.

V = 112.23 Å³/atom
Crystal system = cubic
DFT total energy = -52.01 eV per cell

Unit cell a=13.9135 b=13.9135 c=13.9135 alpha=90.00 beta=90.00 gamma=90.00
Space group Fd-3m (No. 227, origin choice 2)
Asymmetric unit:
K 0.0000 0.0000 0.0000
Pd 0.1250 0.1250 0.1250

# 12
A plane-wave DFT calculation with PBE was carried out for a relaxed structure of K2Pd.

V = 31.86 Å³/atom
Crystal system = cubic
DFT total energy = -44.73 eV per cell

Unit cell a=9.1445 b=9.1445 c=9.1445 alpha=90.00 beta=90.00 gamma=90.00
Space group Fd-3m (No. 227, origin choice 2)
Asymmetric unit:
K 0.0000 0.0000 0.0000
Pd 0.1250 0.1250 0.6250